1.
Density functional theory data (GGA-PBE) for a geometry-optimized KLa2Pb structure.

The structure in POSCAR format:
```
KLa2Pb
1.0
5.992 -0.019 0.001
4.917 3.424 0.001
0.816 0.255 7.594
La Pb K
2 1 1
Cartesian
10.860 3.390 0.549
2.872 0.896 1.905
5.872 1.833 3.450
8.893 2.776 5.493
```

Calculated values
* energy of formation from the pure elements: 0.01 eV/atom
* space-group type: No. 8

2.
Density functional theory data (GGA-PBE) for a geometry-optimized MgZrHg2 structure.

The structure in POSCAR format:
```
MgZrHg2
1.0
-2.822 -2.631 4.336
-3.823 -4.027 1.689
2.655 -4.377 1.305
Zr Hg Mg
1 2 1
Cartesian
-1.248 -2.495 1.788
0.174 -0.345 0.116
-3.115 -7.932 5.362
-1.796 -5.781 3.729
```

Calculated values
* energy of formation from the pure elements: -0.09 eV/atom
* space-group type: No. 8

3.
Density functional theory data (GGA-PBE) for a geometry-optimized ErInSe structure.

The structure in POSCAR format:
```
ErInSe
1.0
4.248 0.000 0.000
2.124 3.672 -0.234
2.124 -0.476 12.205
Se Er In
2 2 2
Cartesian
6.372 1.866 10.184
2.124 1.331 1.787
4.248 3.012 8.891
4.248 0.184 3.080
4.248 2.773 5.132
4.248 0.424 6.839
```

Calculated values
* raw formation energy: -2.9 eV per formula unit
* space-group type: No. 12

4.
Density functional theory data (GGA-PBE) for a geometry-optimized ReTc3O structure.

The structure in POSCAR format:
```
ReTc3O
1.0
4.045 0.000 0.000
0.000 4.045 0.000
0.000 0.000 4.045
O Tc Re
1 3 1
Cartesian
0.000 0.000 0.000
0.000 2.023 0.000
2.023 0.000 0.000
0.000 0.000 2.023
2.023 2.023 2.023
```

Calculated values
* raw formation energy: 0.4 eV per formula unit
* space-group type: No. 221
* polymorph energy (0 for the lowest one): 0 meV/atom

Number 1: density 5.6 g/cm3. Number 2: density 9.8 g/cm3. Number 3: density 6.3 g/cm3. Number 4: density 12.4 g/cm3.